1.
Material: DyEr2ScRh4
Method: DFT, PBE-GGA
State: optimized geometry

## Properties
- Uncorrected energy: -56.93 eV per cell
- DOS(E_F): 3.2 states/eV/cell

a = 8.252 Å, b = 8.252 Å, c = 8.252 Å
α = 33.46°, β = 33.46°, γ = 33.46°
Atoms (fractional coordinates):
Dy: 0.000 0.000 0.000
Er: 0.248 0.248 0.248
Er: 0.752 0.752 0.752
Sc: 0.500 0.500 0.500
Rh: 0.127 0.127 0.127
Rh: 0.378 0.378 0.378
Rh: 0.622 0.622 0.622
Rh: 0.873 0.873 0.873


2.
Material: Sc3As
Method: DFT, PBE-GGA
State: optimized geometry

## Properties
- Uncorrected energy: -25.66 eV per cell
- DOS(E_F): 4.2 states/eV/cell

a = 5.640 Å, b = 5.640 Å, c = 5.640 Å
α = 136.86°, β = 136.86°, γ = 62.66°
Atoms (fractional coordinates):
Sc: 0.000 0.000 0.000
Sc: 0.250 0.750 0.500
Sc: 0.750 0.250 0.500
As: 0.500 0.500 0.000


3.
Material: In2HF6
Method: DFT, PBE-GGA
State: optimized geometry

## Properties
- Uncorrected energy: -77.84 eV per cell
- DOS(E_F): 2.1 states/eV/cell

a = 6.733 Å, b = 6.733 Å, c = 6.246 Å
α = 91.13°, β = 91.13°, γ = 105.47°
Atoms (fractional coordinates):
In: 0.114 0.273 0.092
In: 0.273 0.114 0.592
In: 0.727 0.886 0.408
In: 0.886 0.727 0.908
H: 0.270 0.730 0.250
H: 0.730 0.270 0.750
F: 0.016 0.819 0.569
F: 0.145 0.612 0.149
F: 0.181 0.984 0.931
F: 0.280 0.370 0.805
F: 0.370 0.280 0.305
F: 0.388 0.855 0.351
F: 0.612 0.145 0.649
F: 0.630 0.720 0.695
F: 0.720 0.630 0.195
F: 0.819 0.016 0.069
F: 0.855 0.388 0.851
F: 0.984 0.181 0.431